# 1
Density functional theory data (PBE-GGA) for a geometry-optimized Co3SbBr structure.

a b c (Å): 4.4015 4.4015 4.4015
angles (deg): 90.00 90.00 90.00
Last column: nearest neighbours and their distance in Å.
Fractional coordinates of all 5 atoms:
1 Sb 0.5000 0.5000 0.5000  12 Co 3.11
2 Co 0.0000 0.5000 0.0000  2 Br 2.20
3 Co 0.0000 0.0000 0.5000  2 Br 2.20
4 Co 0.5000 0.0000 0.0000  2 Br 2.20
5 Br 0.0000 0.0000 0.0000  6 Co 2.20

Results
N(E_F): 9.2 states/eV per cell
Total moment: 1.114 μB/cell
Excess energy over the best structure of this formula in the dataset: 0.00 eV per formula unit
SG: No. 221
E_form (uncorrected): 1.034 eV/atom

=====

# 2
Density functional theory data (PBE-GGA) for a geometry-optimized Tb3Pm3Dy5 structure.

a b c (Å): 5.4797 9.6556 9.6556
angles (deg): 120.00 90.00 90.00
Last column: nearest neighbours and their distance in Å.
Fractional coordinates of all 11 atoms:
1 Tb 0.0000 0.4500 0.4500  2 Dy 3.26, 2 Pm 3.27
2 Tb 0.0000 0.5500 0.0000  2 Dy 3.26, 2 Pm 3.27
3 Tb 0.0000 0.0000 0.5500  2 Dy 3.26, 2 Pm 3.27
4 Pm 0.5000 0.6347 0.6347  4 Dy 3.08-3.16, 2 Tb 3.27
5 Pm 0.5000 0.0000 0.3653  4 Dy 3.08-3.16, 2 Tb 3.27
6 Pm 0.5000 0.3653 0.0000  4 Dy 3.08-3.16, 2 Tb 3.27
7 Dy 0.5000 0.3333 0.6667  3 Pm 3.08
8 Dy 0.5000 0.6667 0.3333  3 Pm 3.08
9 Dy 0.5000 0.2679 0.2679  3 Pm 3.16-3.54, 2 Tb 3.26
10 Dy 0.5000 0.0000 0.7321  3 Pm 3.16-3.54, 2 Tb 3.26
11 Dy 0.5000 0.7321 0.0000  3 Pm 3.16-3.54, 2 Tb 3.26

Results
N(E_F): 17.8 states/eV per cell
Total moment: 0.002 μB/cell
SG: No. 189
Energy of formation from the pure elements: 18.47 kcal/mol of atoms

=====

# 3
Density functional theory data (PBE-GGA) for a geometry-optimized Ta2InBr structure.

a b c (Å): 4.1030 4.1030 10.7407
angles (deg): 78.99 78.99 90.00
Last column: nearest neighbours and their distance in Å.
Fractional coordinates of all 8 atoms:
1 In 0.0000 0.0000 0.0000  4 Br 2.90, 4 Ta 2.95
2 In 0.7500 0.2500 0.5000  4 Br 2.90, 4 Ta 2.95
3 Br 0.5000 0.5000 0.0000  4 In 2.90, 4 Ta 2.98
4 Br 0.2500 0.7500 0.5000  4 In 2.90, 4 Ta 2.98
5 Ta 0.6372 0.1250 0.2500  4 Ta 2.83-2.97, 2 In 2.95, 2 Br 2.98
6 Ta 0.1128 0.6250 0.2500  4 Ta 2.83-2.97, 2 In 2.95, 2 Br 2.98
7 Ta 0.3750 0.3628 0.7500  4 Ta 2.83-2.97, 2 In 2.95, 2 Br 2.98
8 Ta 0.8750 0.8872 0.7500  4 Ta 2.83-2.97, 2 In 2.95, 2 Br 2.98

Results
N(E_F): 3.0 states/eV per cell
Total moment: 0.000 μB/cell
Excess energy over the best structure of this formula in the dataset: 2.85 eV per formula unit
SG: No. 122
E_form (uncorrected): 0.782 eV/atom

=====

# 4
Density functional theory data (PBE-GGA) for a geometry-optimized SrCr2Sb structure.

a b c (Å): 4.6437 4.6437 4.5420
angles (deg): 90.00 90.00 90.00
Last column: nearest neighbours and their distance in Å.
Fractional coordinates of all 4 atoms:
1 Cr 0.0000 0.0000 0.0000  4 Sr 3.25, 4 Sb 3.25, 4 Cr 3.28
2 Cr 0.5000 0.5000 0.0000  4 Sb 3.25, 4 Sr 3.25, 4 Cr 3.28
3 Sb 0.5000 0.0000 0.5000  8 Cr 3.25, 4 Sr 3.28
4 Sr 0.0000 0.5000 0.5000  8 Cr 3.25, 4 Sb 3.28

Results
N(E_F): 3.0 states/eV per cell
Total moment: 8.718 μB/cell
SG: No. 123
E_form (uncorrected): 0.424 eV/atom